This record from Alexandria via LeMat-Bulk describes a relaxed CsNa2ZnGe crystal. The functional is GGA-PBE.

Cell: 5.8927 5.8927 5.0196 Å, 90.00 90.00 90.00°
Last column: nearest neighbours and their distance in Å.
Space group P4/mmm (No. 123)
Inequivalent atoms, fractional coordinates:
1 Cs 0.0000 0.0000 0.0000 [1 per cell]  8 Na 3.87, 4 Zn 4.17
2 Na 0.0000 0.5000 0.5000 [2 per cell]  2 Ge 2.95
3 Zn 0.5000 0.5000 0.0000 [1 per cell]  2 Ge 2.51
4 Ge 0.5000 0.5000 0.5000 [1 per cell]  2 Zn 2.51

Properties
The total energy is -1.8516 eV per atom. As for the distance to the lowest polymorph of the same formula: 0 meV/atom. For the magnetic moment, the calculation gives 0.00 μB/cell. As for the crystal system: tetragonal.